First-principles (PBE-GGA) data for an optimized crystal structure of Ba2ZnIn3Pt4, as listed in Alexandria.

Lattice parameters (Å, degrees): 4.7831 4.7831 10.6549 90.00 90.00 90.00
Closest atoms and distances in Å follow each position.
Sites, in units of the cell vectors:
1 Ba 0.0000 0.5000 0.2443  8 Pt 3.53-3.68, 7 In 3.62-3.92, 2 Zn 3.63
2 Ba 0.5000 0.0000 0.7557  8 Pt 3.53-3.68, 7 In 3.62-3.92, 2 Zn 3.63
3 Zn 0.0000 0.0000 0.5000  4 Pt 2.71
4 In 0.0000 0.5000 0.8764  5 Pt 2.73
5 In 0.5000 0.0000 0.1236  5 Pt 2.73
6 In 0.5000 0.5000 0.5000  4 Pt 2.71
7 Pt 0.0000 0.0000 0.0000  4 In 2.73
8 Pt 0.0000 0.5000 0.6205  3 In 2.71-2.73, 2 Zn 2.71
9 Pt 0.5000 0.0000 0.3795  3 In 2.71-2.73, 2 Zn 2.71
10 Pt 0.5000 0.5000 0.0000  4 In 2.73

Spin magnetization in μB/f.u.: 0.00
Formation energy from the elements in meV per atom: -649
Raw total energy in eV/atom: -4.40